1.
VASP calculation (PBE) on a relaxed structure of CrRePRh2.

calculated volume	17.53	A^3/atom
formation energy	136.61	kJ/mol of atoms
crystal system	tetragonal

CIF file:
```
data_CrRePRh2
_chemical_formula_sum 'Cr1 Re1 P1 Rh2'
_space_group_name_H-M_alt 'P 4/m m m'
_space_group_IT_number 123
_space_group_name_Hall '-P 4 2'
_cell_length_a 4.438
_cell_length_b 4.438
_cell_length_c 4.449
_cell_angle_alpha 90.00
_cell_angle_beta 90.00
_cell_angle_gamma 90.00
loop_
_atom_site_label
_atom_site_type_symbol
_atom_site_fract_x
_atom_site_fract_y
_atom_site_fract_z
Cr1 Cr 0.000 0.000 0.000
Re1 Re 0.000 0.000 0.500
P1 P 0.500 0.500 0.500
Rh1 Rh 0.000 0.500 0.000
```



2.
VASP calculation (PBE) on a relaxed structure of Ac2AgAs.

calculated volume	29.98	A^3/atom
formation energy	-67.27	kJ/mol of atoms
crystal system	tetragonal

CIF file:
```
data_Ac2AgAs
_chemical_formula_sum 'Ac2 Ag1 As1'
_space_group_name_H-M_alt 'P 4/m m m'
_space_group_IT_number 123
_space_group_name_Hall '-P 4 2'
_cell_length_a 3.970
_cell_length_b 3.970
_cell_length_c 7.606
_cell_angle_alpha 90.00
_cell_angle_beta 90.00
_cell_angle_gamma 90.00
loop_
_atom_site_label
_atom_site_type_symbol
_atom_site_fract_x
_atom_site_fract_y
_atom_site_fract_z
Ac1 Ac 0.000 0.000 0.235
Ag1 Ag 0.500 0.500 0.500
As1 As 0.500 0.500 0.000
```



3.
VASP calculation (PBE) on a relaxed structure of POsBr2.

calculated volume	20.44	A^3/atom
energy relative to the elements, uncorrected	132	kJ/mol of atoms
crystal system	tetragonal

CIF file:
```
data_POsBr2
_chemical_formula_sum 'P1 Os1 Br2'
_space_group_name_H-M_alt 'P 4/m m m'
_space_group_IT_number 123
_space_group_name_Hall '-P 4 2'
_cell_length_a 3.063
_cell_length_b 3.063
_cell_length_c 8.713
_cell_angle_alpha 90.00
_cell_angle_beta 90.00
_cell_angle_gamma 90.00
loop_
_atom_site_label
_atom_site_type_symbol
_atom_site_fract_x
_atom_site_fract_y
_atom_site_fract_z
P1 P 0.000 0.000 0.000
Os1 Os 0.000 0.000 0.500
Br1 Br 0.500 0.500 0.311
```



Number 1: size of the total moment 0.00 Bohr magnetons per cell. Number 2: size of the total moment 0.00 Bohr magnetons per cell. Number 3: size of the total moment 0.00 Bohr magnetons per cell.